Record 1
Below is a relaxed structure of AlCu2PbAu4, with properties calculated at the GGA-PBE level.

a = 9.066 Å, b = 9.066 Å, c = 9.066 Å
α = 28.27°, β = 28.27°, γ = 28.27°
Element x y z (fractional)
Al1 0.000 0.000 0.000
Cu1 0.262 0.262 0.262
Cu2 0.738 0.738 0.738
Pb1 0.500 0.500 0.500
Au1 0.101 0.101 0.101
Au2 0.368 0.368 0.368
Au3 0.632 0.632 0.632
Au4 0.899 0.899 0.899

Properties
As for the calculated total energy: -29.55 eV for the cell shown.

=====

Record 2
Below is a relaxed structure of Al2CuPdAu4, with properties calculated at the GGA-PBE level.

a = 3.874 Å, b = 3.874 Å, c = 9.791 Å
α = 90.00°, β = 90.00°, γ = 90.00°
Element x y z (fractional)
Al1 0.000 0.000 0.128
Al2 0.000 0.000 0.872
Cu1 0.500 0.500 0.500
Pd1 0.500 0.500 0.000
Au1 0.000 0.500 0.309
Au2 0.000 0.500 0.691
Au3 0.500 0.000 0.309
Au4 0.500 0.000 0.691

Properties
As for the calculated total energy: -30.46 eV for the cell shown.

=====

Record 3
Below is a relaxed structure of AlCuPdAu2, with properties calculated at the GGA-PBE level.

a = 5.101 Å, b = 5.101 Å, c = 4.522 Å
α = 90.00°, β = 90.00°, γ = 90.00°
Element x y z (fractional)
Al1 0.000 0.000 0.000
Cu1 0.500 0.500 0.000
Pd1 0.000 0.000 0.500
Au1 0.000 0.500 0.500
Au2 0.500 0.000 0.500

Properties
As for the calculated total energy: -16.40 eV for the cell shown.

=====

Record 4
Below is a relaxed structure of AlCuPdAu, with properties calculated at the GGA-PBE level.

a = 4.621 Å, b = 4.621 Å, c = 4.621 Å
α = 128.20°, β = 128.20°, γ = 76.30°
Element x y z (fractional)
Al1 0.000 0.000 0.000
Cu1 0.500 0.500 0.000
Pd1 0.250 0.750 0.500
Au1 0.750 0.250 0.500

Properties
As for the calculated total energy: -18.07 eV for the cell shown.